First-principles (PBE-GGA) data for a relaxed ScHPb crystal, as listed in Alexandria via LeMat-Bulk.

The offset from the most stable computed form is 333 meV per atom.

It has space group Cmcm (No. 63), with a = 5.433 Å, b = 5.433 Å, c = 7.406 Å, α = 90.00°, β = 90.00° and γ = 90.00°. The asymmetric unit holds Sc at (0.000, 0.000, 0.000), H at (0.000, 0.001, 0.250) and Pb at (0.000, 0.500, 0.250).



First-principles (PBE-GGA) data for a relaxed Sc4H4Pb3 crystal, as listed in Alexandria via LeMat-Bulk.

The value obtained for the total DFT energy (no corrections) is -105.1 eV/cell.

It has space group Immm (No. 71), with a = 4.766 Å, b = 6.530 Å, c = 12.197 Å, α = 90.00°, β = 90.00° and γ = 90.00°. The asymmetric unit holds Sc at (0.000, 0.000, 0.241), Sc at (0.000, 0.238, 0.500), H at (0.000, 0.272, 0.326), Pb at (0.000, 0.000, 0.000) and Pb at (0.000, 0.500, 0.121).



First-principles (PBE-GGA) data for a relaxed Sc4HPb3 crystal, as listed in Alexandria via LeMat-Bulk.

The value obtained for the total DFT energy (no corrections) is -82.0 eV/cell.

It has space group Pmn2_1 (No. 31), with a = 6.865 Å, b = 11.158 Å, c = 5.254 Å, α = 90.00°, β = 90.00° and γ = 90.00°. The asymmetric unit holds Sc at (0.000, 0.074, 0.000), Sc at (0.000, 0.922, 0.505), Sc at (0.250, 0.168, 0.502), H at (0.000, 0.095, 0.613), Pb at (0.000, 0.578, 0.007) and Pb at (0.238, 0.320, 0.006).



First-principles (PBE-GGA) data for a relaxed Sc5HPb4 crystal, as listed in Alexandria via LeMat-Bulk.

The value obtained for the total DFT energy (no corrections) is -104.7 eV/cell.

It has space group I4/mmm (No. 139), with a = 9.804 Å, b = 9.804 Å, c = 4.758 Å, α = 90.00°, β = 90.00° and γ = 90.00°. The asymmetric unit holds Sc at (0.000, 0.000, 0.000), Sc at (0.169, 0.169, 0.500), H at (0.000, 0.000, 0.500) and Pb at (0.000, 0.303, 0.000).



First-principles (PBE-GGA) data for a relaxed Sc4HPb2 crystal, as listed in Alexandria via LeMat-Bulk.

The offset from the most stable computed form is 8 meV per atom.

It has space group I4/mmm (No. 139), with a = 4.328 Å, b = 4.328 Å, c = 15.761 Å, α = 90.00°, β = 90.00° and γ = 90.00°. The asymmetric unit holds Sc at (0.000, 0.000, 0.171), Sc at (0.000, 0.500, 0.000), H at (0.000, 0.000, 0.000) and Pb at (0.000, 0.000, 0.360).



First-principles (PBE-GGA) data for a relaxed ScH2Pb crystal, as listed in Alexandria via LeMat-Bulk.

The offset from the most stable computed form is 654 meV per atom.

It has space group Fm-3m (No. 225), with a = 6.035 Å, b = 6.035 Å, c = 6.035 Å, α = 90.00°, β = 90.00° and γ = 90.00°. The asymmetric unit holds Sc at (0.000, 0.000, 0.000), H at (0.250, 0.250, 0.250) and Pb at (0.000, 0.000, 0.500).